1.
VASP calculation (PBE) on a relaxed structure of KSr2CdH.

a b c (Å): 5.467 5.467 5.387
angles (deg): 90.00 90.00 90.00
Fractional coordinates of all 5 atoms:
K  0.000  0.000  0.000
Sr  0.000  0.500  0.500
Sr  0.500  0.000  0.500
Cd  0.500  0.500  0.000
H  0.000  0.000  0.500

## Properties
**Spin magnetization**: 0.00 μB/cell
**Calculated volume**: 32.20 A^3/atom
**Electronic total energy**: -9.38 eV/f.u.
**ρ**: 3.4 g/cm3

=====

2.
VASP calculation (PBE) on a relaxed structure of FeSiPt2Cl.

a b c (Å): 4.588 4.588 4.501
angles (deg): 90.00 90.00 90.00
Fractional coordinates of all 5 atoms:
Fe  0.000  0.000  0.000
Si  0.500  0.500  0.000
Pt  0.000  0.500  0.500
Pt  0.500  0.000  0.500
Cl  0.500  0.500  0.500

## Properties
**Formation energy (no corrections)**: 1.2954 eV/atom
**Spin magnetization**: 3.11 μB/cell
**Calculated volume**: 18.95 A^3/atom
**Electronic total energy**: -21.34 eV/f.u.
**ρ**: 8.9 g/cm3

=====

3.
VASP calculation (PBE) on a relaxed structure of ZrAlCu.

a b c (Å): 8.271 5.256 5.256
angles (deg): 60.08 90.00 90.00
Fractional coordinates of all 12 atoms:
Zr  0.180  0.000  0.000
Zr  0.308  0.669  0.669
Zr  0.692  0.669  0.669
Zr  0.820  0.000  0.000
Al  0.000  0.495  0.495
Al  0.500  0.166  0.166
Al  0.500  0.166  0.674
Al  0.500  0.674  0.166
Cu  0.000  0.496  0.992
Cu  0.000  0.992  0.496
Cu  0.252  0.335  0.335
Cu  0.748  0.335  0.335

## Properties
**Spin magnetization**: 2.86 μB/cell
**Calculated volume**: 16.50 A^3/atom
**Electronic total energy**: -17.50 eV/f.u.
**ρ**: 6.1 g/cm3

=====

4.
VASP calculation (PBE) on a relaxed structure of CsZnHg2S.

a b c (Å): 7.134 7.134 6.905
angles (deg): 90.00 90.00 90.00
Fractional coordinates of all 5 atoms:
Cs  0.000  0.000  0.000
Zn  0.000  0.000  0.500
Hg  0.000  0.500  0.000
Hg  0.500  0.000  0.000
S  0.500  0.500  0.500

## Properties
**Formation energy (no corrections)**: 0.5654 eV/atom
**Spin magnetization**: 1.00 μB/cell
**Calculated volume**: 70.30 A^3/atom
**Offset from the most stable computed form**: 0.852 eV/atom
**Electronic total energy**: -4.03 eV/f.u.
**ρ**: 3.0 g/cm3

=====

5.
VASP calculation (PBE) on a relaxed structure of NdTmTh2As4.

a b c (Å): 7.267 4.223 7.318
angles (deg): 90.00 109.65 90.00
Fractional coordinates of all 8 atoms:
Nd  0.000  0.000  0.000
Tm  0.000  0.500  0.500
Th  0.500  0.000  0.500
Th  0.500  0.500  0.000
As  0.243  0.000  0.742
As  0.248  0.500  0.255
As  0.752  0.500  0.745
As  0.757  0.000  0.258

## Properties
**Spin magnetization**: 0.00 μB/cell
**Calculated volume**: 26.44 A^3/atom
**Electronic total energy**: -54.27 eV/f.u.
**ρ**: 8.5 g/cm3

=====

6.
VASP calculation (PBE) on a relaxed structure of MgZrBr2.

a b c (Å): 11.046 11.046 11.046
angles (deg): 17.82 17.82 17.82
Fractional coordinates of all 4 atoms:
Mg  0.000  0.000  0.000
Zr  0.500  0.500  0.500
Br  0.227  0.227  0.227
Br  0.773  0.773  0.773

## Properties
**Formation energy (no corrections)**: -0.7317 eV/atom
**Spin magnetization**: 0.00 μB/cell
**Calculated volume**: 27.57 A^3/atom
**Offset from the most stable computed form**: 0.005 eV/atom
**Electronic total energy**: -16.42 eV/f.u.
**ρ**: 4.1 g/cm3

=====

7.
VASP calculation (PBE) on a relaxed structure of BeAgPO2.

a b c (Å): 3.440 3.440 5.372
angles (deg): 90.00 90.00 90.00
Fractional coordinates of all 5 atoms:
Be  0.000  0.000  0.000
Ag  0.500  0.500  0.500
P  0.000  0.000  0.500
O  0.000  0.500  0.000
O  0.500  0.000  0.000

## Properties
**Formation energy (no corrections)**: -0.0969 eV/atom
**Spin magnetization**: 0.00 μB/cell
**Calculated volume**: 12.71 A^3/atom
**Offset from the most stable computed form**: 0.000 eV/atom
**Electronic total energy**: -22.39 eV/f.u.
**ρ**: 4.7 g/cm3

=====

8.
VASP calculation (PBE) on a relaxed structure of V2CrSn2.

a b c (Å): 6.346 6.346 6.346
angles (deg): 141.00 141.00 56.34
Fractional coordinates of all 5 atoms:
V  0.083  0.083  0.000
V  0.917  0.917  0.000
Cr  0.500  0.500  0.000
Sn  0.250  0.750  0.500
Sn  0.750  0.250  0.500

## Properties
**Spin magnetization**: 3.25 μB/cell
**Calculated volume**: 20.08 A^3/atom
**Offset from the most stable computed form**: 0.307 eV/atom
**Electronic total energy**: -32.51 eV/f.u.
**ρ**: 6.5 g/cm3

=====

9.
VASP calculation (PBE) on a relaxed structure of SrPd8Au2.

a b c (Å): 5.265 5.265 9.159
angles (deg): 90.00 90.00 90.00
Fractional coordinates of all 11 atoms:
Sr  0.000  0.000  0.000
Pd  0.251  0.251  0.277
Pd  0.251  0.251  0.723
Pd  0.251  0.749  0.277
Pd  0.251  0.749  0.723
Pd  0.749  0.251  0.277
Pd  0.749  0.251  0.723
Pd  0.749  0.749  0.277
Pd  0.749  0.749  0.723
Au  0.000  0.500  0.500
Au  0.500  0.000  0.500

## Properties
**Spin magnetization**: 0.00 μB/cell
**Calculated volume**: 23.08 A^3/atom
**Electronic total energy**: -46.72 eV/f.u.
**ρ**: 8.7 g/cm3

=====

10.
VASP calculation (PBE) on a relaxed structure of Pm5Sm8Sn.

a b c (Å): 8.531 8.531 8.531
angles (deg): 109.19 109.19 110.04
Fractional coordinates of all 14 atoms:
Pm  0.000  0.000  0.000
Pm  0.301  0.192  0.690
Pm  0.389  0.699  0.892
Pm  0.502  0.611  0.310
Pm  0.808  0.498  0.108
Sm  0.000  0.726  0.599
Sm  0.064  0.352  0.895
Sm  0.127  0.401  0.401
Sm  0.274  0.873  0.274
Sm  0.457  0.168  0.105
Sm  0.599  0.000  0.726
Sm  0.648  0.543  0.712
Sm  0.832  0.936  0.288
Sn  0.750  0.250  0.500

## Properties
**Spin magnetization**: 0.00 μB/cell
**Calculated volume**: 34.13 A^3/atom
**Electronic total energy**: -63.61 eV/f.u.
**ρ**: 7.1 g/cm3

=====

11.
VASP calculation (PBE) on a relaxed structure of TmSnTe3.

a b c (Å): 9.660 9.660 8.102
angles (deg): 103.69 103.69 27.19
Fractional coordinates of all 10 atoms:
Tm  0.220  0.220  0.248
Tm  0.780  0.780  0.752
Sn  0.453  0.453  0.303
Sn  0.547  0.547  0.697
Te  0.037  0.037  0.177
Te  0.171  0.171  0.581
Te  0.331  0.331  0.004
Te  0.669  0.669  0.996
Te  0.829  0.829  0.419
Te  0.963  0.963  0.823

## Properties
**Formation energy (no corrections)**: -0.7331 eV/atom
**Spin magnetization**: 0.00 μB/cell
**Calculated volume**: 33.50 A^3/atom
**Electronic total energy**: -21.56 eV/f.u.
**ρ**: 6.6 g/cm3

=====

12.
VASP calculation (PBE) on a relaxed structure of K6TlF8.

a b c (Å): 9.466 9.466 4.012
angles (deg): 90.00 90.00 120.00
Fractional coordinates of all 15 atoms:
K  0.138  0.704  0.274
K  0.296  0.434  0.274
K  0.434  0.138  0.726
K  0.566  0.862  0.274
K  0.704  0.566  0.726
K  0.862  0.296  0.726
Tl  0.000  0.000  0.000
F  0.004  0.752  0.774
F  0.248  0.252  0.774
F  0.252  0.004  0.226
F  0.333  0.667  0.762
F  0.667  0.333  0.238
F  0.748  0.996  0.774
F  0.752  0.748  0.226
F  0.996  0.248  0.226

## Properties
**Formation energy (no corrections)**: -2.3892 eV/atom
**Spin magnetization**: 0.00 μB/cell
**Calculated volume**: 20.76 A^3/atom
**Electronic total energy**: -59.76 eV/f.u.
**ρ**: 3.2 g/cm3

=====

13.
VASP calculation (PBE) on a relaxed structure of ScMoBr2.

a b c (Å): 3.244 3.244 8.866
angles (deg): 90.00 90.00 90.00
Fractional coordinates of all 4 atoms:
Sc  0.000  0.000  0.000
Mo  0.500  0.500  0.769
Br  0.000  0.000  0.616
Br  0.500  0.500  0.198

## Properties
**Formation energy (no corrections)**: -0.3214 eV/atom
**Spin magnetization**: 0.00 μB/cell
**Calculated volume**: 23.33 A^3/atom
**Offset from the most stable computed form**: 0.037 eV/atom
**Electronic total energy**: -21.79 eV/f.u.
**ρ**: 5.4 g/cm3

=====

14.
VASP calculation (PBE) on a relaxed structure of Ce2Nd2I7.

a b c (Å): 8.221 8.221 8.320
angles (deg): 90.90 90.90 110.28
Fractional coordinates of all 11 atoms:
Ce  0.141  0.859  0.000
Ce  0.859  0.141  0.000
Nd  0.190  0.190  0.361
Nd  0.810  0.810  0.639
I  0.074  0.480  0.220
I  0.140  0.140  0.739
I  0.480  0.074  0.220
I  0.500  0.500  0.500
I  0.520  0.926  0.780
I  0.860  0.860  0.261
I  0.926  0.520  0.780

## Properties
**Formation energy (no corrections)**: -1.0006 eV/atom
**Spin magnetization**: 5.08 μB/cell
**Calculated volume**: 47.93 A^3/atom
**Electronic total energy**: -43.26 eV/f.u.
**ρ**: 4.6 g/cm3

=====

15.
VASP calculation (PBE) on a relaxed structure of ScP2Ru4.

a b c (Å): 7.398 7.398 3.755
angles (deg): 90.00 90.00 90.00
Fractional coordinates of all 14 atoms:
Sc  0.000  0.000  0.000
Sc  0.500  0.500  0.500
P  0.231  0.231  0.500
P  0.269  0.731  0.000
P  0.731  0.269  0.000
P  0.769  0.769  0.500
Ru  0.069  0.670  0.500
Ru  0.170  0.431  0.000
Ru  0.330  0.931  0.500
Ru  0.431  0.170  0.000
Ru  0.569  0.830  0.000
Ru  0.670  0.069  0.500
Ru  0.830  0.569  0.000
Ru  0.931  0.330  0.500

## Properties
**Spin magnetization**: 0.00 μB/cell
**Calculated volume**: 14.68 A^3/atom
**Electronic total energy**: -58.70 eV/f.u.
**ρ**: 8.3 g/cm3

=====

16.
VASP calculation (PBE) on a relaxed structure of SrAcGa3.

a b c (Å): 13.774 13.774 4.342
angles (deg): 90.00 90.00 160.03
Fractional coordinates of all 10 atoms:
Sr  0.070  0.930  0.750
Sr  0.930  0.070  0.250
Ac  0.203  0.797  0.250
Ac  0.797  0.203  0.750
Ga  0.331  0.669  0.250
Ga  0.384  0.616  0.750
Ga  0.476  0.524  0.750
Ga  0.524  0.476  0.250
Ga  0.616  0.384  0.250
Ga  0.669  0.331  0.750

## Properties
**Spin magnetization**: 0.00 μB/cell
**Calculated volume**: 28.14 A^3/atom
**Offset from the most stable computed form**: 0.052 eV/atom
**Electronic total energy**: -17.37 eV/f.u.
**ρ**: 6.2 g/cm3

=====

17.
VASP calculation (PBE) on a relaxed structure of Li3AcIn.

a b c (Å): 9.710 5.390 9.707
angles (deg): 90.00 90.00 90.00
Fractional coordinates of all 20 atoms:
Li  0.087  0.250  0.154
Li  0.090  0.750  0.356
Li  0.104  0.750  0.660
Li  0.396  0.250  0.160
Li  0.410  0.250  0.856
Li  0.413  0.750  0.654
Li  0.587  0.250  0.346
Li  0.590  0.750  0.144
Li  0.604  0.750  0.840
Li  0.896  0.250  0.340
Li  0.910  0.250  0.644
Li  0.913  0.750  0.846
Ac  0.232  0.750  0.013
Ac  0.268  0.250  0.513
Ac  0.732  0.750  0.487
Ac  0.768  0.250  0.987
In  0.111  0.250  0.840
In  0.389  0.750  0.340
In  0.611  0.250  0.660
In  0.889  0.750  0.160

## Properties
**Spin magnetization**: 0.00 μB/cell
**Calculated volume**: 25.40 A^3/atom
**Electronic total energy**: -13.39 eV/f.u.
**ρ**: 4.7 g/cm3

=====

18.
VASP calculation (PBE) on a relaxed structure of MnZnPb3.

a b c (Å): 5.223 5.223 5.223
angles (deg): 90.00 90.00 90.00
Fractional coordinates of all 5 atoms:
Mn  0.000  0.000  0.000
Zn  0.500  0.500  0.500
Pb  0.000  0.000  0.500
Pb  0.000  0.500  0.000
Pb  0.500  0.000  0.000

## Properties
**Spin magnetization**: 2.15 μB/cell
**Calculated volume**: 28.50 A^3/atom
**Offset from the most stable computed form**: 0.000 eV/atom
**Electronic total energy**: -19.59 eV/f.u.
**ρ**: 8.6 g/cm3

=====

19.
VASP calculation (PBE) on a relaxed structure of Sr4Li3Zn2.

a b c (Å): 9.305 9.305 7.945
angles (deg): 107.95 107.95 27.17
Fractional coordinates of all 9 atoms:
Sr  0.070  0.070  0.353
Sr  0.266  0.266  0.792
Sr  0.734  0.734  0.208
Sr  0.930  0.930  0.647
Li  0.402  0.402  0.258
Li  0.500  0.500  0.000
Li  0.598  0.598  0.742
Zn  0.103  0.103  0.957
Zn  0.897  0.897  0.043

## Properties
**Spin magnetization**: 0.00 μB/cell
**Calculated volume**: 33.10 A^3/atom
**Electronic total energy**: -15.63 eV/f.u.
**ρ**: 2.8 g/cm3

=====

20.
VASP calculation (PBE) on a relaxed structure of FeAs3.

a b c (Å): 4.118 4.118 4.118
angles (deg): 90.00 90.00 90.00
Fractional coordinates of all 4 atoms:
Fe  0.000  0.000  0.000
As  0.000  0.500  0.500
As  0.500  0.000  0.500
As  0.500  0.500  0.000

## Properties
**Spin magnetization**: 2.60 μB/cell
**Calculated volume**: 17.46 A^3/atom
**Offset from the most stable computed form**: 0.514 eV/atom
**Electronic total energy**: -20.17 eV/f.u.
**ρ**: 6.7 g/cm3

=====

21.
VASP calculation (PBE) on a relaxed structure of NaHgAu2.

a b c (Å): 3.836 3.836 5.710
angles (deg): 90.00 90.00 90.00
Fractional coordinates of all 4 atoms:
Na  0.000  0.000  0.000
Hg  0.000  0.000  0.500
Au  0.500  0.500  0.248
Au  0.500  0.500  0.752

## Properties
**Spin magnetization**: 0.00 μB/cell
**Calculated volume**: 21.01 A^3/atom
**Electronic total energy**: -8.66 eV/f.u.
**ρ**: 12.2 g/cm3